4
Lattice="-0.739 -2.846 0.668 1.267 0.306 2.719 -7.357 2.646 3.130" Properties=species:S:1:pos:R:3 comment="ZrTaAu2 PBE relaxed" m_tot_mub_per_cell=0.0 pbc="T T T"
Au -0.028 0.010 0.012
Au -1.622 -0.591 2.495
Ta -3.591 1.292 1.528
Zr -5.267 0.719 4.046


4
Lattice="-3.211 0.762 1.133 0.166 -2.650 2.252 2.432 3.823 4.320" Properties=species:S:1:pos:R:3 comment="ZrTaAu2 PBE relaxed" m_tot_mub_per_cell=0.0 pbc="T T T"
Au 0.011 0.018 0.020
Au -0.900 0.035 2.798
Zr 0.334 1.974 4.989
Ta 1.158 1.821 2.058


Listing total energy for the structures above in their given order: -6.932; -7.012 eV/atom.